First-principles (GGA-PBEsol) data for a relaxed structure of Rb3Cd, as listed in Alexandria via LeMat-Bulk.

abc: 7.194 7.194 7.194
angles: 128.19 128.19 76.32
Fractional positions:
Rb1 0.000 0.000 0.000
Rb2 0.250 0.750 0.500
Rb3 0.750 0.250 0.500
Cd1 0.500 0.500 0.000

Properties
total energy: -0.0356 Ha/atom